1.
This record from Alexandria via LeMat-Bulk describes a geometry-optimized Th5HPb2 structure. The functional is PBE.

ρ (Mg/m³): 11.11
Energy (eV per atom): -6.067

Cell lengths 7.2414, 7.2414, 6.8084 Å; angles 122.11, 122.11, 90.01 degrees
With the nearest neighbours (Å) after each atom.
Fractional positions:
Pb  0.2508  0.7513  0.5019  10 Th 3.40-3.62
Th  0.2513  0.7531  0.0042  1 H 2.56
Th  0.7523  0.7523  0.0032  1 H 2.56
Th  0.2517  0.2517  0.0050  1 H 2.56
H  0.0188  0.0188  0.0377  5 Th 2.43-2.56
Th  0.7477  0.7477  0.4959  1 H 2.43
Pb  0.7513  0.2508  0.5019  10 Th 3.40-3.62
Th  0.7531  0.2513  0.0042  1 H 2.56

=====

2.
This record from Alexandria via LeMat-Bulk describes a geometry-optimized RbCl structure. The functional is PBE.

Uncorrected formation energy (meV/atom): -1827.0
ρ (Mg/m³): 1.55
Energy (eV per atom): -3.234

Cell lengths 10.1254, 10.1254, 10.1254 Å; angles 90.00, 90.00, 90.00 degrees
With the nearest neighbours (Å) after each atom.
Fractional positions:
Cl  0.6595  0.6595  0.6595  4 Rb 3.17-3.23
Cl  0.6595  0.3405  0.3405  4 Rb 3.17-3.23
Cl  0.8405  0.8405  0.1595  4 Rb 3.17-3.23
Rb  0.3403  0.6597  0.6597  4 Cl 3.17-3.23
Cl  0.8405  0.1595  0.8405  4 Rb 3.17-3.23
Cl  0.1595  0.8405  0.8405  4 Rb 3.17-3.23
Rb  0.8403  0.1597  0.1597  4 Cl 3.17-3.23
Rb  0.8403  0.8403  0.8403  4 Cl 3.17-3.23
Rb  0.1597  0.1597  0.8403  4 Cl 3.17-3.23
Rb  0.1597  0.8403  0.1597  4 Cl 3.17-3.23
Rb  0.6597  0.3403  0.6597  4 Cl 3.17-3.23
Cl  0.3405  0.6595  0.3405  4 Rb 3.17-3.23
Cl  0.3405  0.3405  0.6595  4 Rb 3.17-3.23
Rb  0.6597  0.6597  0.3403  4 Cl 3.17-3.23
Rb  0.3403  0.3403  0.3403  4 Cl 3.17-3.23
Cl  0.1595  0.1595  0.1595  4 Rb 3.17-3.23